1.
PBE La3Bi2As, relaxed; energy relative to the elements = -7.2 eV/f.u.; SG = Fddd
1.0
-5.018 -3.587 5.040
5.668 -5.146 -2.199
7.440 8.391 9.173
La As Bi
12 4 8
direct
0.587 0.601 0.673
0.851 0.337 0.173
0.086 0.072 0.673
0.928 0.914 0.327
0.399 0.413 0.327
0.164 0.678 0.827
0.483 0.983 0.500
0.322 0.836 0.173
0.767 0.767 0.000
0.233 0.233 0.000
0.663 0.149 0.827
0.017 0.517 0.500
0.167 0.667 0.333
0.333 0.833 0.667
0.917 0.917 0.833
0.083 0.083 0.167
0.252 0.252 0.503
0.581 0.581 0.162
0.998 0.498 0.997
0.669 0.169 0.338
0.419 0.419 0.838
0.831 0.331 0.662
0.748 0.748 0.497
0.502 0.002 0.003


2.
PBE SrCa2La, relaxed; energy above the most stable polymorph in this dataset = 0.27 eV per formula unit; energy relative to the elements = 0.5 eV/f.u.; SG = P3m1
1.0
3.851 0.000 0.000
-1.926 3.335 0.000
0.000 0.000 13.527
La Ca Sr
1 2 1
direct
0.667 0.333 0.525
0.333 0.667 0.755
0.667 0.333 0.257
0.000 0.000 0.008


3.
PBE InTe2SI, relaxed; energy above the most stable polymorph in this dataset = 0.00 eV per formula unit; SG = P4/mmm; E_form (uncorrected) = 0.24 eV/atom
1.0
5.358 0.000 0.000
0.000 5.358 0.000
0.000 0.000 5.714
In Te S I
1 2 1 1
direct
0.500 0.500 0.500
0.500 0.000 0.000
0.000 0.500 0.000
0.000 0.000 0.000
0.000 0.000 0.500


4.
PBE CdRhCl2, relaxed; energy above the most stable polymorph in this dataset = 0.04 eV per formula unit; SG = R3m; E_form (uncorrected) = -0.35 eV/atom
1.0
8.465 -0.021 -0.013
7.726 3.458 -0.013
7.726 1.640 3.045
Cd Rh Cl
1 1 2
direct
0.756 0.756 0.756
0.503 0.503 0.503
0.221 0.221 0.221
0.021 0.021 0.021


5.
PBE Nb5Os2W, relaxed; energy relative to the elements = -1.7 eV/f.u.; SG = I4/mmm
1.0
5.284 0.041 -1.828
-2.663 4.564 -1.829
-0.027 -0.045 5.591
Os Nb W
2 5 1
direct
0.278 0.778 0.500
0.778 0.278 0.500
0.778 0.278 0.000
0.278 0.278 0.500
0.278 0.778 0.000
0.278 0.278 0.000
0.778 0.778 0.500
0.778 0.778 0.000


6.
PBE HfIrPt, relaxed; energy above the most stable polymorph in this dataset = 0.06 eV per formula unit; energy relative to the elements = -2.7 eV/f.u.; SG = Cmcm
1.0
-1.825 3.998 0.345
-0.807 -3.102 3.508
4.489 1.821 2.642
Pt Ir Hf
2 2 2
direct
0.382 0.263 0.750
0.618 0.737 0.250
0.000 0.500 0.000
0.000 0.500 0.500
0.696 0.892 0.750
0.304 0.108 0.250


7.
PBE AcBe4Te3O12, relaxed; SG = R32; E_form (uncorrected) = -1.84 eV/atom
1.0
-4.147 0.749 -5.121
-3.441 -3.636 4.349
0.255 6.021 2.769
O Be Te Ac
12 4 3 1
direct
0.500 0.094 0.906
0.649 0.500 0.351
0.094 0.906 0.500
0.975 0.216 0.367
0.367 0.975 0.216
0.906 0.500 0.094
0.784 0.025 0.633
0.025 0.633 0.784
0.216 0.367 0.975
0.633 0.784 0.025
0.500 0.351 0.649
0.351 0.649 0.500
0.945 0.055 0.500
0.055 0.500 0.945
0.500 0.500 0.500
0.500 0.945 0.055
0.000 0.547 0.453
0.453 0.000 0.547
0.547 0.453 0.000
0.000 0.000 0.000


8.
PBE Ba2GaPPb, relaxed; energy relative to the elements = -3.6 eV/f.u.; SG = P2_1/m
1.0
-0.559 1.968 -4.219
-0.359 -7.212 -3.317
-9.527 2.744 2.543
Ba Pb P Ga
4 2 2 2
direct
0.750 0.767 0.027
0.250 0.204 0.394
0.250 0.233 0.973
0.750 0.796 0.606
0.750 0.315 0.699
0.250 0.685 0.301
0.250 0.826 0.826
0.750 0.174 0.174
0.250 0.520 0.744
0.750 0.480 0.256


9.
PBE GeBF3, relaxed; energy above the most stable polymorph in this dataset = 0.00 eV per formula unit; SG = Pm-3m; E_form (uncorrected) = -0.63 eV/atom
1.0
4.277 0.000 0.000
0.000 4.277 0.000
0.000 0.000 4.277
Ge F B
1 3 1
direct
0.000 0.000 0.000
0.000 0.000 0.500
0.500 0.000 0.000
0.000 0.500 0.000
0.500 0.500 0.500


10.
PBE Ag2Ge2Pb, relaxed; energy above the most stable polymorph in this dataset = 0.37 eV per formula unit; energy relative to the elements = 1.1 eV/f.u.; SG = P4/mbm
1.0
-3.609 7.010 -2.812
-5.550 -0.348 6.258
1.869 1.664 1.750
Pb Ge Ag
2 4 4
direct
0.000 0.000 0.000
0.500 0.500 0.000
0.374 0.874 0.000
0.126 0.374 0.000
0.626 0.126 0.000
0.874 0.626 0.000
0.332 0.168 0.500
0.668 0.832 0.500
0.832 0.332 0.500
0.168 0.668 0.500


11.
PBE SrLiMgPd2, relaxed; energy relative to the elements = -2.6 eV/f.u.; SG = I-4m2
1.0
4.260 0.000 0.000
0.000 4.260 0.000
-2.130 -2.130 5.935
Li Sr Pd Mg
1 1 2 1
direct
0.750 0.250 0.500
0.000 0.000 0.000
0.613 0.613 0.226
0.387 0.387 0.774
0.250 0.750 0.500


12.
PBE YFeAg2, relaxed; energy relative to the elements = 0.4 eV/f.u.; SG = Immm
1.0
5.392 -0.076 -0.009
4.086 3.519 -0.009
1.771 0.644 3.924
Ag Y Fe
2 1 1
direct
0.985 0.985 0.015
0.515 0.515 0.485
0.750 0.750 0.750
0.250 0.250 0.250